Below is PmEr2Ag6 after structural relaxation, with properties calculated at the PBE-GGA level.

Lattice parameters (Å, degrees): 5.3173 8.9143 8.9143 75.78 81.66 81.66
Closest atoms and distances in Å follow each position.
Fractional positions:
Ag 0.3563 0.8993 0.6470  5 Ag 3.02-3.22, 4 Er 3.02-3.13, 1 Pm 3.14
Ag 0.8068 0.0166 0.7527  2 Er 3.02-3.08, 5 Ag 3.05-3.22, 3 Pm 3.10-3.24
Ag 0.3068 0.7527 0.0166  2 Er 3.02-3.08, 5 Ag 3.05-3.22, 3 Pm 3.10-3.24
Ag 0.6932 0.2473 0.9834  2 Er 3.02-3.08, 5 Ag 3.05-3.22, 3 Pm 3.10-3.24
Ag 0.0311 0.5650 0.3249  5 Ag 3.02-3.13, 4 Er 3.06-3.09, 1 Pm 3.19
Ag 0.1932 0.9834 0.2473  2 Er 3.02-3.08, 5 Ag 3.05-3.22, 3 Pm 3.10-3.24
Ag 0.8563 0.6470 0.8993  5 Ag 3.02-3.22, 4 Er 3.02-3.13, 1 Pm 3.14
Ag 0.5311 0.3249 0.5650  5 Ag 3.02-3.13, 4 Er 3.06-3.09, 1 Pm 3.19
Ag 0.1437 0.3530 0.1007  5 Ag 3.02-3.22, 4 Er 3.02-3.13, 1 Pm 3.14
Ag 0.6437 0.1007 0.3530  5 Ag 3.02-3.22, 4 Er 3.02-3.13, 1 Pm 3.14
Ag 0.9689 0.4350 0.6751  5 Ag 3.02-3.13, 4 Er 3.06-3.09, 1 Pm 3.19
Ag 0.4689 0.6751 0.4350  5 Ag 3.02-3.13, 4 Er 3.06-3.09, 1 Pm 3.19
Pm 0.7500 0.8746 0.1254  10 Ag 3.10-3.24
Pm 0.2500 0.1254 0.8746  10 Ag 3.10-3.24
Er 0.4122 0.5429 0.7904  10 Ag 3.02-3.13
Er 0.5878 0.4571 0.2096  10 Ag 3.02-3.13
Er 0.0878 0.2096 0.4571  10 Ag 3.02-3.13
Er 0.9122 0.7904 0.5429  10 Ag 3.02-3.13

Properties
SG: No. 15

***

Below is PmErAg3 after structural relaxation, with properties calculated at the PBE-GGA level.

Lattice parameters (Å, degrees): 3.5520 4.7946 14.0924 90.00 97.24 90.00
Closest atoms and distances in Å follow each position.
Fractional positions:
Ag 0.5241 0.7500 0.0482  3 Ag 2.75
Ag 0.4759 0.2500 0.9518  3 Ag 2.75
Ag 0.6226 0.7500 0.2452  3 Ag 2.75-2.88, 2 Er 3.02
Ag 0.3774 0.2500 0.7548  3 Ag 2.75-2.88, 2 Er 3.02
Ag 0.6795 0.2500 0.3590  2 Ag 2.88, 5 Er 3.09-3.10
Ag 0.3205 0.7500 0.6410  2 Ag 2.88, 5 Er 3.09-3.10
Pm 0.0754 0.2500 0.1508  12 Ag 3.26-3.41, 2 Pm 3.55
Pm 0.9246 0.7500 0.8492  12 Ag 3.26-3.41, 2 Pm 3.55
Er 0.2098 0.7500 0.4197  7 Ag 3.02-3.10
Er 0.7902 0.2500 0.5803  7 Ag 3.02-3.10

Properties
Energy relative to the lowest polymorph listed for this composition, eV/atom: 0.000
SG: No. 63

***

no.,energy of formation from the pure elements (meV per atom),DFT total energy (eV per cell)
1,-198,-65.539
2,-263,-38.361